(1)
The following is a GGA-PBE calculation of Te2Rh2Cl after structural relaxation, from the Alexandria database.

Results
Formation energy (no corrections): -10.08 kcal/mol of atoms

Lattice parameters (Å, degrees): 3.9889 3.9889 14.8450 90.00 90.00 90.00
Element x y z (fractional)
Te (0.0000, 0.0000, 0.1375)
Te (0.0000, 0.0000, 0.8625)
Te (0.5000, 0.5000, 0.3625)
Te (0.5000, 0.5000, 0.6375)
Rh (0.0000, 0.5000, 0.2500)
Rh (0.0000, 0.5000, 0.7500)
Rh (0.5000, 0.0000, 0.2500)
Rh (0.5000, 0.0000, 0.7500)
Cl (0.0000, 0.0000, 0.5000)
Cl (0.5000, 0.5000, 0.0000)

=====

(2)
The following is a GGA-PBE calculation of Pr2InSi after structural relaxation, from the Alexandria database.

Results
Formation energy (no corrections): -13.24 kcal/mol of atoms

Lattice parameters (Å, degrees): 6.2591 4.2174 9.0105 90.00 107.89 90.00
Element x y z (fractional)
Pr (0.1938, 0.2500, 0.4190)
Pr (0.2734, 0.7500, 0.0616)
Pr (0.7266, 0.2500, 0.9384)
Pr (0.8062, 0.7500, 0.5810)
In (0.3678, 0.7500, 0.7121)
In (0.6322, 0.2500, 0.2879)
Si (0.1353, 0.2500, 0.7912)
Si (0.8647, 0.7500, 0.2088)

=====

(3)
The following is a GGA-PBE calculation of MgCdPdPt after structural relaxation, from the Alexandria database.

Results
Formation energy from the elements: -219 kJ/mol of formula units
E above lowest polymorph: 28 meV/atom

Lattice parameters (Å, degrees): 6.4669 6.4669 6.4669 90.00 90.00 90.00
Element x y z (fractional)
Mg (0.0000, 0.0000, 0.0000)
Mg (0.0000, 0.5000, 0.5000)
Mg (0.5000, 0.0000, 0.5000)
Mg (0.5000, 0.5000, 0.0000)
Cd (0.0000, 0.0000, 0.5000)
Cd (0.0000, 0.5000, 0.0000)
Cd (0.5000, 0.0000, 0.0000)
Cd (0.5000, 0.5000, 0.5000)
Pd (0.2500, 0.2500, 0.2500)
Pd (0.2500, 0.7500, 0.7500)
Pd (0.7500, 0.2500, 0.7500)
Pd (0.7500, 0.7500, 0.2500)
Pt (0.2500, 0.2500, 0.7500)
Pt (0.2500, 0.7500, 0.2500)
Pt (0.7500, 0.2500, 0.2500)
Pt (0.7500, 0.7500, 0.7500)

=====

The calculation returns the following total DFT energy (no corrections) values, one per record and in order: -5.00, -5.00, -4.00 eV/atom.